Entry from Alexandria via LeMat-Bulk: a relaxed structure of AcTmMg2Cd4 (PBE).

Calculated values
Final energy ... -52.6 eV per cell
Spin magnetization ... 0.0 μB per formula unit
Density ... 7.29 g/cm3
Energy relative to the elements ... -2.111 eV per formula unit
DOS at the Fermi energy ... 9.57 states/eV/cell

abc: 5.1797 5.1797 26.2951
angles: 90.00 90.00 120.00
Closest atoms and distances in Å follow each position.
Space group R-3m (No. 166, hexagonal axes)
One atom of each set of equivalent atoms:
1 Ac 0.0000 0.0000 0.0000 x3  8 Cd 3.28-3.40
2 Tm 0.0000 0.0000 0.5000 x3  8 Cd 3.03-3.15
3 Mg 0.0000 0.0000 0.2463 x6  7 Cd 3.07-3.19
4 Cd 0.0000 0.0000 0.1294 x6  4 Mg 3.07-3.19, 3 Tm 3.15, 1 Ac 3.40
5 Cd 0.0000 0.0000 0.3849 x6  1 Tm 3.03, 3 Mg 3.13, 3 Ac 3.28